SrCdW after structural relaxation. Source: the Alexandria database, functional PBE.

The value obtained for the formation energy is 1846 meV per atom. The energy above the most stable polymorph in this dataset comes out at 1041 meV/atom. The uncorrected energy comes out at -40.05 eV for the cell shown. The value obtained for the spin magnetization is 16.17 μB/cell. For the volume, the calculation gives 402 Å³ per cell.

The structure belongs to space group F-43m (No. 216); the cell edges are 7.381, 7.381 and 7.381 Å and the angles 90.00°, 90.00° and 90.00°. The distinct sites, in fractional coordinates, are Sr at (0.000, 0.000, 0.000), Cd at (0.250, 0.250, 0.750) and W at (0.250, 0.250, 0.250).